No. 1
The following is a DFT calculation (PBE) of a relaxed Hg4PtW crystal.

Values from the calculation:
DFT total energy (eV/cell): -55.2
Mass density (g/cm3): 15.56
Energy of formation from the pure elements (eV per atom): 1.0675

abc: 7.9598 7.9598 7.9598
angles: 90.00 90.00 90.00
Space group F-43m (No. 216)
Asymmetric unit:
Hg  0.1248  0.1248  0.1248 [16 per cell]
Pt  0.2500  0.2500  0.7500 [4 per cell]
W  0.0000  0.0000  0.5000 [4 per cell]

***

No. 2
The following is a DFT calculation (PBE) of a relaxed NaLiLa2O crystal.

Values from the calculation:
DFT total energy (eV/cell): -22.8
Mass density (g/cm3): 4.08
Distance to the lowest polymorph of the same formula (meV/atom): 0.0
Formation energy without anion corrections (eV/atom): -0.945

abc: 4.9377 4.9377 5.4091
angles: 90.00 90.00 90.00
Space group P4/mmm (No. 123)
Asymmetric unit:
Na  0.0000  0.0000  0.0000 [1 per cell]
Li  0.5000  0.5000  0.0000 [1 per cell]
La  0.0000  0.5000  0.5000 [2 per cell]
O  0.0000  0.0000  0.5000 [1 per cell]

***

No. 3
The following is a DFT calculation (PBE) of a relaxed Tb3Pr2Y4 crystal.

Values from the calculation:
DFT total energy (eV/cell): -97.4
Mass density (g/cm3): 6.15
Energy of formation from the pure elements (eV per atom): 0.0689
Distance to the lowest polymorph of the same formula (meV/atom): 0.0

abc: 11.8435 3.5508 14.4054
angles: 90.00 96.32 90.00
Space group C2/m (No. 12)
Asymmetric unit:
Tb  0.0000  0.0000  0.0000 [2 per cell]
Tb  0.0712  0.5000  0.2122 [4 per cell]
Pr  0.1366  0.0000  0.4316 [4 per cell]
Y  0.1459  0.0000  0.6803 [4 per cell]
Y  0.2149  0.5000  0.8924 [4 per cell]

***

Among the records above, which one has the highest mass density? Hg4PtW

***

What did the third record say?
The following is a DFT calculation (PBE) of a relaxed Tb3Pr2Y4 crystal.

Values from the calculation:
DFT total energy (eV/cell): -97.4
Mass density (g/cm3): 6.15
Energy of formation from the pure elements (eV per atom): 0.0689
Distance to the lowest polymorph of the same formula (meV/atom): 0.0

abc: 11.8435 3.5508 14.4054
angles: 90.00 96.32 90.00
Space group C2/m (No. 12)
Asymmetric unit:
Tb  0.0000  0.0000  0.0000 [2 per cell]
Tb  0.0712  0.5000  0.2122 [4 per cell]
Pr  0.1366  0.0000  0.4316 [4 per cell]
Y  0.1459  0.0000  0.6803 [4 per cell]
Y  0.2149  0.5000  0.8924 [4 per cell]